Compound: CrNi2MoO6
Source: Alexandria via LeMat-Bulk
Functional: GGA+U
Structure: optimized geometry

a b c (Å): 3.856 5.663 5.663
angles (deg): 90.00 90.00 90.00
Site moments in Bohr magnetons follow the coordinates.
Positions (direct):
Cr (0.731, 0.500, 0.500)  2.66
Ni (0.799, 0.500, 0.000)  0.55
Ni (0.799, 0.000, 0.500)  0.55
Mo (0.669, 0.000, 0.000)  1.00
O (0.749, 0.249, 0.249)  -0.06
O (0.749, 0.249, 0.751)  -0.06
O (0.239, 0.500, 0.500)  -0.43
O (0.213, 0.000, 0.000)  -0.06
O (0.749, 0.751, 0.751)  -0.06
O (0.749, 0.751, 0.249)  -0.06

Computed properties:
Calculated total energy in Ha/atom: -0.219
Symmetry: P4mm (99)
Total moment in μB/cell: 4.00